First-principles (PBE-GGA) data for a geometry-optimized Pm6Te2PSe3 structure, as listed in the Alexandria database.

Values from the calculation:
**Crystal system**: monoclinic
**Energy relative to the elements, uncorrected**: -1677 meV/atom
**SG**: C2/m (12)

a b c (Å): 4.234 8.653 9.584
angles (deg): 102.25 102.76 90.00
Atoms (fractional coordinates):
Se1 0.500 0.500 0.000
Se2 0.171 0.842 0.343
Pm1 0.656 0.606 0.312
Pm2 0.995 0.227 0.991
Pm3 0.344 0.394 0.688
Te1 0.169 0.341 0.338
Pm4 0.345 0.935 0.691
Se3 0.829 0.158 0.657
P1 0.500 0.000 0.000
Pm5 0.655 0.065 0.309
Te2 0.831 0.659 0.662
Pm6 0.005 0.773 0.009